The following is a PBE-GGA calculation of HoGa4IrPt2 after structural relaxation, from Alexandria via LeMat-Bulk.

abc: 4.2881 4.2881 25.8331
angles: 90.00 90.00 120.00
Space group R-3m (No. 166, hexagonal axes)
Symmetry-distinct sites (fractional):
Ho  0.0000  0.0000  0.0000 (multiplicity 3)
Ga  0.0000  0.0000  0.1328 (multiplicity 6)
Ga  0.0000  0.0000  0.3965 (multiplicity 6)
Ir  0.0000  0.0000  0.5000 (multiplicity 3)
Pt  0.0000  0.0000  0.2411 (multiplicity 6)

Properties
* mass density: 12.4 Mg/m³
* energy relative to the elements: -0.62 eV per atom

---

The following is a PBE-GGA calculation of Li2ZrCr after structural relaxation, from Alexandria via LeMat-Bulk.

abc: 3.016 4.882 10.348
angles: 90.00 90.00 90.00
Space group Cmmm (No. 65)
Symmetry-distinct sites (fractional):
Li  0.000  0.000  0.233 (multiplicity 4)
Zr  0.000  0.500  0.500 (multiplicity 2)
Cr  0.000  0.500  0.000 (multiplicity 2)

Properties
* mass density: 3.4 Mg/m³
* ΔE to the lowest computed polymorph: 4.12 kcal/mol of atoms
* energy relative to the elements: 0.49 eV per atom

---

The following is a PBE-GGA calculation of Ce4ZrP6 after structural relaxation, from Alexandria via LeMat-Bulk.

abc: 11.0248 11.0248 13.8919
angles: 90.00 90.00 120.00
Space group R-3c (No. 167, hexagonal axes)
Symmetry-distinct sites (fractional):
Ce  0.0000  0.0000  0.2500 (multiplicity 6)
Ce  0.0000  0.3768  0.2500 (multiplicity 18)
Zr  0.0000  0.0000  0.0000 (multiplicity 6)
P  0.0256  0.2033  0.3897 (multiplicity 36)

Properties
* mass density: 5.7 Mg/m³
* energy relative to the elements: -1.29 eV per atom